## Tl3GeSe (PBE)

Data for an optimized crystal structure of Tl3GeSe.

The uncorrected formation energy comes out at 0.196 eV/atom. For the energy above the most stable polymorph in this dataset, the calculation gives 0.0 meV per atom.

The structure belongs to space group Pm-3m (No. 221); the cell edges are 5.493, 5.493 and 5.493 Å and the angles 90.00°, 90.00° and 90.00°. The distinct sites, in fractional coordinates, are Tl at (0.000, 0.000, 0.500), Ge at (0.000, 0.000, 0.000) and Se at (0.500, 0.500, 0.500).



## Zr4Ni3 (PBE)

Data for an optimized crystal structure of Zr4Ni3.

For the energy of formation from the pure elements, the calculation gives -0.25 eV per atom. For the energy above the most stable polymorph in this dataset, the calculation gives 9.9 meV per atom.

The structure belongs to space group P6/mmm (No. 191); the cell edges are 5.1149, 5.1149 and 5.2996 Å and the angles 90.00°, 90.00° and 120.00°. The distinct sites, in fractional coordinates, are Zr at (0.0000, 0.0000, 0.2466), Zr at (0.3333, 0.6667, 0.5000) and Ni at (0.0000, 0.5000, 0.0000).



## TiSbN2F (PBE)

Data for an optimized crystal structure of TiSbN2F.

The uncorrected formation energy comes out at -0.625 eV/atom. For the energy above the most stable polymorph in this dataset, the calculation gives 0.0 meV per atom.

The structure belongs to space group P4/mmm (No. 123); the cell edges are 4.080, 4.080 and 3.820 Å and the angles 90.00°, 90.00° and 90.00°. The distinct sites, in fractional coordinates, are Ti at (0.000, 0.000, 0.000), Sb at (0.500, 0.500, 0.500), N at (0.000, 0.500, 0.000) and F at (0.000, 0.000, 0.500).



## YTcO2 (PBE)

Data for an optimized crystal structure of YTcO2.

The uncorrected formation energy comes out at -1.885 eV/atom. For the energy above the most stable polymorph in this dataset, the calculation gives 0.0 meV per atom.

The structure belongs to space group R-3m (No. 166, hexagonal axes); the cell edges are 3.4401, 3.4401 and 18.4316 Å and the angles 90.00°, 90.00° and 120.00°. The distinct sites, in fractional coordinates, are Y at (0.0000, 0.0000, 0.0000), Tc at (0.0000, 0.0000, 0.5000) and O at (0.0000, 0.0000, 0.3910).



## ZrMn2In (PBE)

Data for an optimized crystal structure of ZrMn2In.

For the energy of formation from the pure elements, the calculation gives 0.07 eV per atom.

The structure belongs to space group I-4m2 (No. 119); the cell edges are 4.011, 4.011 and 8.791 Å and the angles 90.00°, 90.00° and 90.00°. The distinct sites, in fractional coordinates, are Zr at (0.000, 0.000, 0.000), Mn at (0.000, 0.000, 0.500), Mn at (0.000, 0.500, 0.250) and In at (0.000, 0.500, 0.750).



## Ga2Ag2Ge (PBE)

Data for an optimized crystal structure of Ga2Ag2Ge.

For the energy of formation from the pure elements, the calculation gives 0.13 eV per atom. For the energy above the most stable polymorph in this dataset, the calculation gives 0.0 meV per atom.

The structure belongs to space group P4/mbm (No. 127); the cell edges are 8.032, 8.032 and 2.914 Å and the angles 90.00°, 90.00° and 90.00°. The distinct sites, in fractional coordinates, are Ga at (0.166, 0.334, 0.000), Ag at (0.132, 0.632, 0.500) and Ge at (0.000, 0.000, 0.000).